An optimized crystal structure of LiVCl4, computed with GGA-PBE.

Cell: 7.2409 7.2409 6.2717 Å, 113.61 113.61 28.69°
Last column: nearest neighbours and their distance in Å.
Fractional coordinates of all 6 atoms:
Li (0.0000, 0.0000, 0.0000)  6 Cl 2.52-2.60
V (0.5000, 0.5000, 0.5000)  6 Cl 2.34-2.43
Cl (0.1069, 0.1069, 0.7451)  2 V 2.43, 1 Li 2.60
Cl (0.3982, 0.3982, 0.7160)  1 V 2.34, 2 Li 2.52
Cl (0.6018, 0.6018, 0.2840)  1 V 2.34, 2 Li 2.52
Cl (0.8931, 0.8931, 0.2549)  2 V 2.43, 1 Li 2.60

Calculated values
Formation energy from raw total energies in eV per atom: -1.406



An optimized crystal structure of LiUIBr4, computed with GGA-PBE.

Cell: 7.6922 7.6922 11.9771 Å, 112.72 112.72 74.98°
Last column: nearest neighbours and their distance in Å.
Fractional coordinates of all 14 atoms:
Li (0.1925, 0.1925, 0.3348)  4 Br 2.57-2.58
Li (0.8075, 0.8075, 0.6652)  4 Br 2.57-2.58
U (0.4506, 0.4506, 0.7879)  4 Br 2.73-2.76
U (0.5494, 0.5494, 0.2121)  4 Br 2.73-2.76
I (0.3117, 0.3117, 0.9454)  2 U 3.09-3.10
I (0.6883, 0.6883, 0.0546)  2 U 3.09-3.10
Br (0.1583, 0.7472, 0.7983)  1 Li 2.58, 1 U 2.76
Br (0.2253, 0.2253, 0.5636)  1 Li 2.57, 1 U 2.76
Br (0.2528, 0.8417, 0.2017)  1 Li 2.58, 1 U 2.76
Br (0.3950, 0.3950, 0.3175)  1 Li 2.58, 1 U 2.73
Br (0.6050, 0.6050, 0.6825)  1 Li 2.58, 1 U 2.73
Br (0.7472, 0.1583, 0.7983)  1 Li 2.58, 1 U 2.76
Br (0.7747, 0.7747, 0.4364)  1 Li 2.57, 1 U 2.76
Br (0.8417, 0.2528, 0.2017)  1 Li 2.58, 1 U 2.76

Calculated values
Formation energy from raw total energies in eV per atom: -1.260



An optimized crystal structure of SrHf2Hg2, computed with GGA-PBE.

Cell: 8.8069 8.8069 3.2525 Å, 90.00 90.00 90.00°
Last column: nearest neighbours and their distance in Å.
Fractional coordinates of all 10 atoms:
Sr (0.0000, 0.0000, 0.0000)  2 Sr 3.25, 4 Hg 3.28
Sr (0.5000, 0.5000, 0.0000)  2 Sr 3.25, 4 Hg 3.28
Hf (0.1298, 0.3702, 0.5000)  6 Hg 3.00-3.10, 3 Hf 3.23-3.25
Hf (0.3702, 0.8702, 0.5000)  6 Hg 3.00-3.10, 3 Hf 3.23-3.25
Hf (0.6298, 0.1298, 0.5000)  6 Hg 3.00-3.10, 3 Hf 3.23-3.25
Hf (0.8702, 0.6298, 0.5000)  6 Hg 3.00-3.10, 3 Hf 3.23-3.25
Hg (0.1677, 0.6677, 0.0000)  6 Hf 3.00-3.10, 2 Hg 3.25, 2 Sr 3.28
Hg (0.3323, 0.1677, 0.0000)  6 Hf 3.00-3.10, 2 Hg 3.25, 2 Sr 3.28
Hg (0.6677, 0.8323, 0.0000)  6 Hf 3.00-3.10, 2 Hg 3.25, 2 Sr 3.28
Hg (0.8323, 0.3323, 0.0000)  6 Hf 3.00-3.10, 2 Hg 3.25, 2 Sr 3.28

Calculated values
ΔE_f in eV per formula unit: 0.6



An optimized crystal structure of HoThTcOs, computed with GGA-PBE.

Cell: 4.9147 4.9147 4.9147 Å, 60.00 60.00 60.00°
Last column: nearest neighbours and their distance in Å.
Fractional coordinates of all 4 atoms:
Ho (0.0000, 0.0000, 0.0000)  4 Tc 3.01, 4 Os 3.01
Th (0.5000, 0.5000, 0.5000)  4 Os 3.01, 4 Tc 3.01
Tc (0.2500, 0.2500, 0.2500)  4 Th 3.01, 4 Ho 3.01
Os (0.7500, 0.7500, 0.7500)  4 Ho 3.01, 4 Th 3.01

Calculated values
ΔE_f in eV per formula unit: -0.5



An optimized crystal structure of Rb2CIN, computed with GGA-PBE.

Cell: 6.0195 6.0195 4.3287 Å, 90.00 90.00 90.00°
Last column: nearest neighbours and their distance in Å.
Fractional coordinates of all 5 atoms:
Rb (0.0000, 0.5000, 0.0000)  2 N 3.01
Rb (0.5000, 0.0000, 0.0000)  2 N 3.01
C (0.0000, 0.0000, 0.5000)  8 Rb 3.71
I (0.5000, 0.5000, 0.5000)  2 N 2.16
N (0.5000, 0.5000, 0.0000)  2 I 2.16

Calculated values
Formation energy from raw total energies in eV per atom: 1.261



An optimized crystal structure of TiSbS2, computed with GGA-PBE.

Cell: 3.3665 5.9391 8.6594 Å, 96.09 100.99 90.02°
Last column: nearest neighbours and their distance in Å.
Fractional coordinates of all 8 atoms:
Ti (0.0000, 0.0000, 0.0000)  6 S 2.43-2.45
Ti (0.5000, 0.5000, 0.0000)  6 S 2.43-2.45
Sb (0.1656, 0.7501, 0.4999)  2 S 2.78-2.79
Sb (0.8344, 0.2499, 0.5001)  2 S 2.78-2.79
S (0.0802, 0.6952, 0.1720)  3 Ti 2.43-2.45
S (0.4112, 0.8047, 0.8281)  3 Ti 2.43-2.45
S (0.5888, 0.1953, 0.1719)  3 Ti 2.43-2.45
S (0.9198, 0.3048, 0.8280)  3 Ti 2.43-2.45

Calculated values
Formation energy from raw total energies in eV per atom: -0.904